# 1
VASP calculation (PBE) on crystalline Ba2Tl3In4Sn at its relaxed geometry.

Lattice parameters (Å, degrees): 5.2858 5.2858 11.8229 90.00 90.00 90.00
Sites, in units of the cell vectors:
Tl 0.0000 0.5000 0.1298
Tl 0.5000 0.0000 0.8702
Tl 0.0000 0.0000 0.5000
Sn 0.5000 0.5000 0.5000
In 0.5000 0.5000 0.0000
In 0.0000 0.0000 0.0000
In 0.0000 0.5000 0.3753
In 0.5000 0.0000 0.6247
Ba 0.0000 0.5000 0.7459
Ba 0.5000 0.0000 0.2541

mass density	7.4	Mg/m³
uncorrected energy	-2.87	eV/atom
energy relative to the elements	-277.1	meV/atom


# 2
VASP calculation (PBE) on crystalline Tb2Pr7Y at its relaxed geometry.

Lattice parameters (Å, degrees): 3.5536 10.4828 10.4828 108.75 90.00 90.00
Sites, in units of the cell vectors:
Tb 0.5000 0.8333 0.1667
Tb 0.5000 0.1667 0.8333
Pr 0.5000 0.3824 0.1256
Pr 0.5000 0.6176 0.8744
Pr 0.5000 0.8744 0.6176
Pr 0.5000 0.1256 0.3824
Pr 0.5000 0.5000 0.5000
Pr 0.0000 0.3216 0.6784
Pr 0.0000 0.6784 0.3216
Y 0.0000 0.0000 0.0000

mass density	6.3	Mg/m³
uncorrected energy	-4.56	eV/atom
energy relative to the elements	361.8	meV/atom


# 3
VASP calculation (PBE) on crystalline Pr2ZrTl at its relaxed geometry.

Lattice parameters (Å, degrees): 3.4763 3.4763 9.8532 90.00 90.00 90.00
Sites, in units of the cell vectors:
Pr 0.0000 0.0000 0.7501
Pr 0.0000 0.0000 0.2499
Tl 0.5000 0.5000 0.5000
Zr 0.5000 0.5000 0.0000

mass density	8.1	Mg/m³
uncorrected energy	-5.17	eV/atom
energy relative to the elements	-47.3	meV/atom


# 4
VASP calculation (PBE) on crystalline LiSmSn2Se4 at its relaxed geometry.

Lattice parameters (Å, degrees): 4.2142 7.4016 7.1731 71.25 90.00 90.00
Sites, in units of the cell vectors:
Se 0.5000 0.2641 0.7488
Se 0.0000 0.7367 0.7544
Se 0.0000 0.2633 0.2456
Se 0.5000 0.7359 0.2512
Sn 0.0000 0.0000 0.0000
Sn 0.5000 0.0000 0.5000
Li 0.5000 0.5000 0.0000
Sm 0.0000 0.5000 0.5000

mass density	5.6	Mg/m³
uncorrected energy	-4.57	eV/atom
formation energy without anion corrections	-1002	meV/atom


# 5
VASP calculation (PBE) on crystalline CoAu2Se at its relaxed geometry.

Lattice parameters (Å, degrees): 2.8108 2.8108 9.0040 90.00 90.00 89.95
Sites, in units of the cell vectors:
Au 0.0000 0.0000 0.4567
Au 0.0000 0.0000 0.0433
Co 0.5000 0.5000 0.2500
Se 0.5000 0.5000 0.7500

mass density	12.4	Mg/m³
uncorrected energy	-3.98	eV/atom
formation energy without anion corrections	307	meV/atom


# 6
VASP calculation (PBE) on crystalline Sc8TeS6 at its relaxed geometry.

Lattice parameters (Å, degrees): 9.5909 9.5909 3.7502 90.00 90.00 120.00
Sites, in units of the cell vectors:
S 0.8637 0.3401 0.7555
S 0.3401 0.4763 0.2445
S 0.6599 0.5237 0.7555
S 0.5237 0.8637 0.2445
S 0.4763 0.1363 0.7555
S 0.1363 0.6599 0.2445
Sc 0.0360 0.3436 0.2585
Sc 0.3436 0.3076 0.7415
Sc 0.3076 0.9640 0.2585
Sc 0.9640 0.6564 0.7415
Sc 0.6564 0.6924 0.2585
Sc 0.6667 0.3333 0.2552
Sc 0.6924 0.0360 0.7415
Sc 0.3333 0.6667 0.7448
Te 0.0000 0.0000 0.5000

mass density	3.8	Mg/m³
uncorrected energy	-6.72	eV/atom
formation energy without anion corrections	-1479	meV/atom


# 7
VASP calculation (PBE) on crystalline Al3As at its relaxed geometry.

Lattice parameters (Å, degrees): 5.4729 5.4729 5.4729 142.21 134.53 60.55
Sites, in units of the cell vectors:
Al 0.0000 0.5000 0.5000
Al 0.2712 0.2712 0.0000
Al 0.7288 0.7288 0.0000
As 0.5000 0.0000 0.5000

mass density	3.7	Mg/m³
uncorrected energy	-3.88	eV/atom
energy relative to the elements	85.4	meV/atom


# 8
VASP calculation (PBE) on crystalline EuHoGa4 at its relaxed geometry.

Lattice parameters (Å, degrees): 5.5752 5.5752 5.5752 60.00 60.00 60.00
Sites, in units of the cell vectors:
Ho 0.2500 0.2500 0.2500
Ga 0.1254 0.6249 0.6249
Ga 0.6249 0.6249 0.6249
Ga 0.6249 0.6249 0.1254
Ga 0.6249 0.1254 0.6249
Eu 0.0000 0.0000 0.0000

mass density	8.1	Mg/m³
uncorrected energy	-5.00	eV/atom
energy relative to the elements	-504.3	meV/atom